This record from Alexandria describes a geometry-optimized SrCo2HgF8 structure. The functional is PBE+U.

Properties
As for the space group: No. 2. The total energy is -4.6184 eV per atom.

Cell lengths 5.136, 5.202, 6.846 Å; angles 89.67, 89.64, 89.74 degrees
Positions (direct):
Sr (0.000, 0.000, 0.000)
Co (0.500, 0.500, 0.253)
Co (0.500, 0.500, 0.747)
Hg (0.000, 0.000, 0.500)
F (0.231, 0.781, 0.256)
F (0.231, 0.781, 0.744)
F (0.317, 0.328, 0.501)
F (0.323, 0.334, 0.001)
F (0.677, 0.666, 0.999)
F (0.683, 0.672, 0.499)
F (0.769, 0.219, 0.256)
F (0.769, 0.219, 0.744)